# SrYHg2 (PBEsol, relaxed)
# SG = P4/mmm (123)
# DOS at the Fermi energy = 2.1 states/eV/f.u.
# DFT total energy = -3.013 eV/atom
data_SrYHg2
_symmetry_space_group_name_H-M 'P 1'
_symmetry_Int_Tables_number 1
_cell_length_a 5.3660
_cell_length_b 5.3660
_cell_length_c 3.7103
_cell_angle_alpha 90.00
_cell_angle_beta 90.00
_cell_angle_gamma 90.00
loop_
_symmetry_equiv_pos_as_xyz
'x,y,z'
loop_
_atom_site_label
_atom_site_fract_x
_atom_site_fract_y
_atom_site_fract_z
Sr1 0.0000 0.0000 0.0000
Y1 0.5000 0.5000 0.0000
Hg1 0.0000 0.5000 0.5000
Hg2 0.5000 0.0000 0.5000



# SrZnHg (PBEsol, relaxed)
# SG = I4mm (107)
# DOS at the Fermi energy = 1.1 states/eV/f.u.
# DFT total energy = -1.613 eV/atom
data_SrZnHg
_symmetry_space_group_name_H-M 'P 1'
_symmetry_Int_Tables_number 1
_cell_length_a 5.8588
_cell_length_b 5.8588
_cell_length_c 5.8588
_cell_angle_alpha 142.24
_cell_angle_beta 142.24
_cell_angle_gamma 54.47
loop_
_symmetry_equiv_pos_as_xyz
'x,y,z'
loop_
_atom_site_label
_atom_site_fract_x
_atom_site_fract_y
_atom_site_fract_z
Sr1 0.0000 0.0000 0.0000
Zn1 0.3131 0.3131 0.0000
Hg1 0.6896 0.6896 0.0000



# SrZn2Hg2 (PBEsol, relaxed)
# SG = I4/mmm (139)
# DOS at the Fermi energy = 2.2 states/eV/f.u.
# DFT total energy = -1.533 eV/atom
data_SrZn2Hg2
_symmetry_space_group_name_H-M 'P 1'
_symmetry_Int_Tables_number 1
_cell_length_a 6.7421
_cell_length_b 6.7421
_cell_length_c 6.7421
_cell_angle_alpha 142.34
_cell_angle_beta 142.34
_cell_angle_gamma 54.32
loop_
_symmetry_equiv_pos_as_xyz
'x,y,z'
loop_
_atom_site_label
_atom_site_fract_x
_atom_site_fract_y
_atom_site_fract_z
Sr1 0.0000 0.0000 0.0000
Zn1 0.2500 0.7500 0.5000
Zn2 0.7500 0.2500 0.5000
Hg1 0.3808 0.3808 0.0000
Hg2 0.6192 0.6192 0.0000



# Sr2ZnHg (PBEsol, relaxed)
# relative energy among the computed polymorphs = 0.0 meV/atom
# SG = Fm-3m (225)
# DOS at the Fermi energy = 2.4 states/eV/f.u.
data_Sr2ZnHg
_symmetry_space_group_name_H-M 'P 1'
_symmetry_Int_Tables_number 1
_cell_length_a 5.4728
_cell_length_b 5.4728
_cell_length_c 5.4728
_cell_angle_alpha 60.00
_cell_angle_beta 60.00
_cell_angle_gamma 60.00
loop_
_symmetry_equiv_pos_as_xyz
'x,y,z'
loop_
_atom_site_label
_atom_site_fract_x
_atom_site_fract_y
_atom_site_fract_z
Sr1 0.2500 0.2500 0.2500
Sr2 0.7500 0.7500 0.7500
Zn1 0.0000 0.0000 0.0000
Hg1 0.5000 0.5000 0.5000



# Sr2ZnHg (PBEsol, relaxed)
# relative energy among the computed polymorphs = 157.4 meV/atom
# SG = C2/m (12)
# DOS at the Fermi energy = 2.7 states/eV/f.u.
data_Sr2ZnHg
_symmetry_space_group_name_H-M 'P 1'
_symmetry_Int_Tables_number 1
_cell_length_a 4.5567
_cell_length_b 4.5567
_cell_length_c 8.0677
_cell_angle_alpha 106.30
_cell_angle_beta 106.30
_cell_angle_gamma 59.76
loop_
_symmetry_equiv_pos_as_xyz
'x,y,z'
loop_
_atom_site_label
_atom_site_fract_x
_atom_site_fract_y
_atom_site_fract_z
Sr1 0.2480 0.2480 0.2441
Sr2 0.7520 0.7520 0.7559
Zn1 0.5000 0.5000 0.0000
Hg1 0.0000 0.0000 0.5000



# SrZnHg (PBEsol, relaxed)
# SG = P-6m2 (187)
# DOS at the Fermi energy = 2.0 states/eV/f.u.
# DFT total energy = -1.734 eV/atom
data_SrZnHg
_symmetry_space_group_name_H-M 'P 1'
_symmetry_Int_Tables_number 1
_cell_length_a 4.6847
_cell_length_b 4.6847
_cell_length_c 4.0729
_cell_angle_alpha 90.00
_cell_angle_beta 90.00
_cell_angle_gamma 120.00
loop_
_symmetry_equiv_pos_as_xyz
'x,y,z'
loop_
_atom_site_label
_atom_site_fract_x
_atom_site_fract_y
_atom_site_fract_z
Sr1 0.0000 0.0000 0.0000
Zn1 0.6667 0.3333 0.5000
Hg1 0.3333 0.6667 0.5000